Record 1
A relaxed La4HPt2 crystal, computed with GGA-PBE.

Results
Density of states at the Fermi level ... 0.9703 states/eV per atom
Theoretical density ... 8.86 g/cm3
Calculated total energy ... -80.530 eV for the cell shown

Cell and atoms, written as CIF:
```
data_La4HPt2
_chemical_formula_sum 'La8 H2 Pt4'
_cell_length_a 4.762
_cell_length_b 4.762
_cell_length_c 15.653
_cell_angle_alpha 90.00
_cell_angle_beta 90.00
_cell_angle_gamma 90.00
_space_group_name_H-M_alt 'I 4/m m m'
_space_group_IT_number 139
_space_group_name_Hall '-I 4 2'
loop_
_atom_site_label
_atom_site_fract_x
_atom_site_fract_y
_atom_site_fract_z
La1 0.000 0.000 0.189
La2 0.000 0.500 0.000
H1 0.000 0.000 0.000
Pt1 0.000 0.000 0.364
```

Record 2
A relaxed LaH2Pt crystal, computed with GGA-PBE.

Results
Density of states at the Fermi level ... 0.2712 states/eV per atom
Theoretical density ... 9.91 g/cm3
Calculated total energy ... -79.532 eV for the cell shown
Distance to the lowest polymorph of the same formula ... 0.175 eV per atom

Cell and atoms, written as CIF:
```
data_LaH2Pt
_chemical_formula_sum 'La4 H8 Pt4'
_cell_length_a 4.458
_cell_length_b 4.458
_cell_length_c 11.325
_cell_angle_alpha 90.00
_cell_angle_beta 90.00
_cell_angle_gamma 90.00
_space_group_name_H-M_alt 'I -4 2 d'
_space_group_IT_number 122
_space_group_name_Hall 'I -4 2bw'
loop_
_atom_site_label
_atom_site_fract_x
_atom_site_fract_y
_atom_site_fract_z
La1 0.000 0.000 0.000
H1 0.002 0.250 0.625
Pt1 0.000 0.000 0.500
```

Record 3
A relaxed LaHPt crystal, computed with GGA-PBE.

Results
Density of states at the Fermi level ... 0.2027 states/eV per atom
Theoretical density ... 10.18 g/cm3
Calculated total energy ... -16.250 eV for the cell shown
Distance to the lowest polymorph of the same formula ... 0.253 eV per atom

Cell and atoms, written as CIF:
```
data_LaHPt
_chemical_formula_sum 'La1 H1 Pt1'
_cell_length_a 4.1560
_cell_length_b 4.1560
_cell_length_c 3.6537
_cell_angle_alpha 90.00
_cell_angle_beta 90.00
_cell_angle_gamma 120.00
_space_group_name_H-M_alt 'P 3 m 1'
_space_group_IT_number 156
_space_group_name_Hall 'P 3 -2"'
loop_
_atom_site_label
_atom_site_fract_x
_atom_site_fract_y
_atom_site_fract_z
La1 0.0000 0.0000 0.0000
H1 0.6667 0.3333 0.5051
Pt1 0.3333 0.6667 0.5006
```

| no. | V (Å³ per cell) |
| --- | --- |
| 1 | 355 |
| 2 | 225 |
| 3 | 55 |